Entry 1:
{"formula": "LiVP2O7", "functional": "SCAN", "state": "single point on PBEsol structure", "lattice_angstrom": [[7.267, 0.000, 0.000], [0.000, 9.936, 0.000], [-2.884, 0.000, 7.570]], "species": ["Li", "Li", "Li", "Li", "V", "V", "V", "V", "P", "P", "P", "P", "P", "P", "P", "P", "O", "O", "O", "O", "O", "O", "O", "O", "O", "O", "O", "O", "O", "O", "O", "O", "O", "O", "O", "O", "O", "O", "O", "O", "O", "O", "O", "O"], "frac_coords": [[0.013, 0.194, 0.451], [0.013, 0.306, 0.951], [0.987, 0.694, 0.049], [0.987, 0.806, 0.549], [0.239, 0.107, 0.256], [0.239, 0.393, 0.756], [0.761, 0.607, 0.244], [0.761, 0.893, 0.744], [0.140, 0.083, 0.815], [0.140, 0.417, 0.315], [0.456, 0.141, 0.700], [0.456, 0.359, 0.200], [0.544, 0.641, 0.800], [0.544, 0.859, 0.300], [0.860, 0.583, 0.685], [0.860, 0.917, 0.185], [0.017, 0.536, 0.220], [0.017, 0.964, 0.720], [0.074, 0.216, 0.712], [0.074, 0.284, 0.212], [0.136, 0.104, 0.999], [0.136, 0.396, 0.499], [0.307, 0.126, 0.511], [0.307, 0.374, 0.011], [0.347, 0.575, 0.768], [0.347, 0.925, 0.268], [0.360, 0.057, 0.823], [0.360, 0.443, 0.323], [0.473, 0.212, 0.261], [0.473, 0.288, 0.761], [0.527, 0.712, 0.239], [0.527, 0.788, 0.739], [0.640, 0.557, 0.677], [0.640, 0.943, 0.177], [0.653, 0.075, 0.732], [0.653, 0.425, 0.232], [0.693, 0.626, 0.989], [0.693, 0.874, 0.489], [0.864, 0.604, 0.501], [0.864, 0.896, 0.001], [0.926, 0.716, 0.788], [0.926, 0.784, 0.288], [0.983, 0.036, 0.280], [0.983, 0.464, 0.780]]}


Entry 2:
{"formula": "Li2V3P5O18", "functional": "SCAN", "state": "single point on PBEsol structure", "lattice_angstrom": [[12.958, -2.390, 0.000], [12.958, 2.390, 0.000], [-0.453, 0.000, 12.422]], "species": ["Li", "Li", "Li", "Li", "V", "V", "V", "V", "V", "V", "P", "P", "P", "P", "P", "P", "P", "P", "P", "P", "O", "O", "O", "O", "O", "O", "O", "O", "O", "O", "O", "O", "O", "O", "O", "O", "O", "O", "O", "O", "O", "O", "O", "O", "O", "O", "O", "O", "O", "O", "O", "O", "O", "O", "O", "O"], "frac_coords": [[0.033, 0.309, 0.367], [0.309, 0.033, 0.867], [0.691, 0.967, 0.133], [0.967, 0.691, 0.633], [0.000, 0.000, 0.000], [0.000, 0.000, 0.500], [0.260, 0.346, 0.379], [0.346, 0.260, 0.879], [0.654, 0.740, 0.121], [0.740, 0.654, 0.621], [0.206, 0.335, 0.127], [0.232, 0.768, 0.250], [0.335, 0.206, 0.627], [0.432, 0.432, 0.406], [0.432, 0.432, 0.906], [0.568, 0.568, 0.094], [0.568, 0.568, 0.594], [0.665, 0.794, 0.373], [0.768, 0.232, 0.750], [0.794, 0.665, 0.873], [0.054, 0.901, 0.154], [0.099, 0.946, 0.346], [0.118, 0.341, 0.879], [0.133, 0.746, 0.932], [0.174, 0.255, 0.628], [0.238, 0.366, 0.536], [0.254, 0.867, 0.568], [0.255, 0.174, 0.128], [0.262, 0.345, 0.727], [0.277, 0.637, 0.495], [0.295, 0.457, 0.386], [0.341, 0.118, 0.379], [0.345, 0.262, 0.227], [0.363, 0.723, 0.005], [0.366, 0.238, 0.036], [0.399, 0.515, 0.291], [0.457, 0.295, 0.886], [0.485, 0.601, 0.209], [0.515, 0.399, 0.791], [0.543, 0.705, 0.114], [0.601, 0.485, 0.709], [0.634, 0.762, 0.964], [0.637, 0.277, 0.995], [0.655, 0.738, 0.773], [0.659, 0.882, 0.621], [0.705, 0.543, 0.614], [0.723, 0.363, 0.505], [0.738, 0.655, 0.273], [0.745, 0.826, 0.872], [0.746, 0.133, 0.432], [0.762, 0.634, 0.464], [0.826, 0.745, 0.372], [0.867, 0.254, 0.068], [0.882, 0.659, 0.121], [0.901, 0.054, 0.654], [0.946, 0.099, 0.846]]}


Number 1: calculated density 2.8 g/cm³, raw total energy -449.322 eV/cell. Number 2: calculated density 2.6 g/cm³, raw total energy -582.436 eV/cell.